## VGePO2 (PBE with a Hubbard U)

Data for a relaxed structure of VGePO2.

Calculated values
For the calculated volume, the calculation gives 14.23 A^3/atom. Its energy above the most stable polymorph in this dataset is 0.000 eV/atom.

abc: 3.7134 3.7134 5.1588
angles: 90.00 90.00 90.00
Closest atoms and distances in Å follow each position.
Sites, in units of the cell vectors:
V1 0.0000 0.0000 0.0000  4 O 1.86
Ge1 0.5000 0.5000 0.5000  4 P 2.63
P1 0.0000 0.0000 0.5000  2 V 2.58, 4 Ge 2.63
O1 0.0000 0.5000 0.0000  2 V 1.86
O2 0.5000 0.0000 0.0000  2 V 1.86